## HoCrIO4 (GGA+U)

Data for crystalline HoCrIO4 at its relaxed geometry. Values from VASP.

Properties
Total DFT energy (no corrections) ... -92.83 eV per cell
Crystal system ... monoclinic
Mass density ... 5.5 Mg/m³
Symmetry ... C2/m (12)
N(E_F) ... 0.40 states/eV/atom

Cell and atoms, written as Quantum ESPRESSO input:
```
&SYSTEM
  ibrav = 0, nat = 14, ntyp = 4
/
ATOMIC_SPECIES
I 126.90 I.upf
Ho 164.93 Ho.upf
O 16.00 O.upf
Cr 52.00 Cr.upf
ATOMIC_POSITIONS crystal
I 0.014 0.014 0.272
I 0.986 0.986 0.728
Ho 0.279 0.279 0.861
Ho 0.721 0.721 0.139
O 0.518 0.518 0.227
O 0.120 0.509 0.134
O 0.509 0.120 0.134
O 0.482 0.482 0.773
O 0.297 0.297 0.519
O 0.703 0.703 0.481
O 0.880 0.491 0.866
O 0.491 0.880 0.866
Cr 0.369 0.369 0.271
Cr 0.631 0.631 0.729
CELL_PARAMETERS angstrom
-5.702 -0.350 -3.372
-0.778 -4.759 -4.555
-3.202 -4.528 3.548
```